Here is a relaxed PmNd2Ho2Er2 crystal from the Alexandria database. Energies are from PBE-GGA. Values from VASP.

Results
Space group ... No. 12
Formation energy ... 0.15 eV/atom

The structure in Quantum ESPRESSO input format:
```
&SYSTEM
  ibrav = 0, nat = 14, ntyp = 4
/
ATOMIC_SPECIES
Pm 145.00 Pm.upf
Nd 144.24 Nd.upf
Ho 164.93 Ho.upf
Er 167.26 Er.upf
ATOMIC_POSITIONS crystal
Pm 0.0000 0.0000 0.0000
Pm 0.5000 0.5000 0.0000
Nd 0.1479 0.5000 0.8849
Nd 0.3521 0.0000 0.1151
Nd 0.6479 0.0000 0.8849
Nd 0.8521 0.5000 0.1151
Ho 0.0707 0.5000 0.4059
Ho 0.4293 0.0000 0.5941
Ho 0.5707 0.0000 0.4059
Ho 0.9293 0.5000 0.5941
Er 0.2114 0.0000 0.3004
Er 0.2886 0.5000 0.6996
Er 0.7114 0.5000 0.3004
Er 0.7886 0.0000 0.6996
CELL_PARAMETERS angstrom
17.7249 0.0000 0.0000
0.0000 3.4995 0.0000
-3.8176 0.0000 7.5487
```



Here is a relaxed PmNd4HoEr2 crystal from the Alexandria database. Energies are from PBE-GGA. Values from VASP.

Results
Space group ... No. 10
Formation energy ... 0.02 eV/atom

The structure in Quantum ESPRESSO input format:
```
&SYSTEM
  ibrav = 0, nat = 8, ntyp = 4
/
ATOMIC_SPECIES
Pm 145.00 Pm.upf
Nd 144.24 Nd.upf
Ho 164.93 Ho.upf
Er 167.26 Er.upf
ATOMIC_POSITIONS crystal
Pm 0.0000 0.0000 0.0000
Nd 0.2510 0.0000 0.7493
Nd 0.2506 0.5000 0.2529
Nd 0.7490 0.0000 0.2507
Nd 0.7494 0.5000 0.7471
Ho 0.0000 0.5000 0.5000
Er 0.5000 0.0000 0.5000
Er 0.5000 0.5000 0.0000
CELL_PARAMETERS angstrom
6.2595 0.0000 0.0000
0.0000 3.6270 0.0000
-2.1073 0.0000 11.7154
```



Here is a relaxed PmNd2Ho2Er crystal from the Alexandria database. Energies are from PBE-GGA. Values from VASP.

Results
Space group ... No. 51
Formation energy ... 0.07 eV/atom

The structure in Quantum ESPRESSO input format:
```
&SYSTEM
  ibrav = 0, nat = 12, ntyp = 4
/
ATOMIC_SPECIES
Pm 145.00 Pm.upf
Nd 144.24 Nd.upf
Ho 164.93 Ho.upf
Er 167.26 Er.upf
ATOMIC_POSITIONS crystal
Pm 0.0000 0.0000 0.0000
Pm 0.5000 0.0000 0.0000
Nd 0.0000 0.5000 0.5000
Nd 0.2500 0.0000 0.3297
Nd 0.5000 0.5000 0.5000
Nd 0.7500 0.0000 0.6703
Ho 0.2500 0.0000 0.6650
Ho 0.2500 0.5000 0.1672
Ho 0.7500 0.0000 0.3350
Ho 0.7500 0.5000 0.8328
Er 0.2500 0.5000 0.8360
Er 0.7500 0.5000 0.1640
CELL_PARAMETERS angstrom
7.0013 0.0000 0.0000
0.0000 5.6843 0.0000
0.0000 0.0000 9.8738
```



Here is a relaxed Pm2Nd4HoEr crystal from the Alexandria database. Energies are from PBE-GGA. Values from VASP.

Results
Space group ... No. 10
Formation energy ... 0.01 eV/atom

The structure in Quantum ESPRESSO input format:
```
&SYSTEM
  ibrav = 0, nat = 8, ntyp = 4
/
ATOMIC_SPECIES
Pm 145.00 Pm.upf
Nd 144.24 Nd.upf
Ho 164.93 Ho.upf
Er 167.26 Er.upf
ATOMIC_POSITIONS crystal
Pm 0.0000 0.0000 0.0000
Pm 0.5000 0.5000 0.5000
Nd 0.0002 0.5000 0.2491
Nd 0.9998 0.5000 0.7509
Nd 0.4994 0.0000 0.7497
Nd 0.5006 0.0000 0.2503
Ho 0.0000 0.0000 0.5000
Er 0.5000 0.5000 0.0000
CELL_PARAMETERS angstrom
5.1378 0.0000 0.0000
0.0000 5.1623 0.0000
-0.0157 0.0000 10.2056
```



Here is a relaxed Pm2Nd3HoEr6 crystal from the Alexandria database. Energies are from PBE-GGA. Values from VASP.

Results
Space group ... No. 12
Formation energy ... 0.02 eV/atom

The structure in Quantum ESPRESSO input format:
```
&SYSTEM
  ibrav = 0, nat = 12, ntyp = 4
/
ATOMIC_SPECIES
Pm 145.00 Pm.upf
Nd 144.24 Nd.upf
Ho 164.93 Ho.upf
Er 167.26 Er.upf
ATOMIC_POSITIONS crystal
Pm 0.1666 0.8334 0.0000
Pm 0.8334 0.1666 0.0000
Nd 0.0000 0.0000 0.5000
Nd 0.3332 0.6668 0.5000
Nd 0.6668 0.3332 0.5000
Ho 0.5000 0.5000 0.0000
Er 0.0841 0.4170 0.7516
Er 0.2502 0.2502 0.2485
Er 0.4170 0.0841 0.7516
Er 0.5830 0.9159 0.2484
Er 0.7498 0.7498 0.7515
Er 0.9159 0.5830 0.2484
CELL_PARAMETERS angstrom
3.1028 -5.3728 0.0000
3.1028 5.3728 0.0000
-2.0610 0.0000 11.5758
```



Here is a relaxed PmNd2Ho4Er crystal from the Alexandria database. Energies are from PBE-GGA. Values from VASP.

Results
Space group ... No. 15
Formation energy ... 0.42 eV/atom

The structure in Quantum ESPRESSO input format:
```
&SYSTEM
  ibrav = 0, nat = 16, ntyp = 4
/
ATOMIC_SPECIES
Pm 145.00 Pm.upf
Nd 144.24 Nd.upf
Ho 164.93 Ho.upf
Er 167.26 Er.upf
ATOMIC_POSITIONS crystal
Pm 0.0000 0.5000 0.0000
Pm 0.5000 0.0000 0.5000
Nd 0.0000 0.0000 0.0000
Nd 0.0000 0.0000 0.5000
Nd 0.0000 0.5000 0.5000
Nd 0.5000 0.0000 0.0000
Ho 0.2547 0.2549 0.0061
Ho 0.2549 0.2547 0.5061
Ho 0.2554 0.7449 0.0002
Ho 0.2551 0.7446 0.4998
Ho 0.7446 0.2551 0.9998
Ho 0.7449 0.2554 0.5002
Ho 0.7451 0.7453 0.4939
Ho 0.7453 0.7451 0.9939
Er 0.5000 0.5000 0.0000
Er 0.5000 0.5000 0.5000
CELL_PARAMETERS angstrom
6.8298 -6.6266 0.0000
6.8298 6.6266 0.0000
-3.3877 0.0000 5.9002
```



Here is a relaxed PmNdHo2Er5 crystal from the Alexandria database. Energies are from PBE-GGA. Values from VASP.

Results
Space group ... No. 140
Formation energy ... 0.28 eV/atom

The structure in Quantum ESPRESSO input format:
```
&SYSTEM
  ibrav = 0, nat = 18, ntyp = 4
/
ATOMIC_SPECIES
Pm 145.00 Pm.upf
Nd 144.24 Nd.upf
Ho 164.93 Ho.upf
Er 167.26 Er.upf
ATOMIC_POSITIONS crystal
Pm 0.2500 0.2500 0.0000
Pm 0.7500 0.7500 0.0000
Nd 0.2500 0.7500 0.5000
Nd 0.7500 0.2500 0.5000
Ho 0.1146 0.6146 0.7292
Ho 0.3854 0.1146 0.5000
Ho 0.6146 0.8854 0.5000
Ho 0.8854 0.3854 0.2708
Er 0.0000 0.0000 0.0000
Er 0.0712 0.1642 0.5000
Er 0.1642 0.6642 0.0930
Er 0.3358 0.4288 0.5000
Er 0.4288 0.9288 0.0930
Er 0.5000 0.5000 0.0000
Er 0.5712 0.0712 0.9070
Er 0.6642 0.5712 0.5000
Er 0.8358 0.3358 0.9070
Er 0.9288 0.8358 0.5000
CELL_PARAMETERS angstrom
-4.4102 4.4102 7.4281
4.4102 -4.4102 7.4281
4.4102 4.4102 -7.4281
```



Here is a relaxed PmNd6HoEr2 crystal from the Alexandria database. Energies are from PBE-GGA. Values from VASP.

Results
Space group ... No. 15
Formation energy ... 0.11 eV/atom

The structure in Quantum ESPRESSO input format:
```
&SYSTEM
  ibrav = 0, nat = 20, ntyp = 4
/
ATOMIC_SPECIES
Pm 145.00 Pm.upf
Nd 144.24 Nd.upf
Ho 164.93 Ho.upf
Er 167.26 Er.upf
ATOMIC_POSITIONS crystal
Pm 0.0288 0.9712 0.7500
Pm 0.9712 0.0288 0.2500
Nd 0.0081 0.5619 0.6862
Nd 0.1152 0.7603 0.0550
Nd 0.2397 0.8848 0.4450
Nd 0.2937 0.5130 0.8822
Nd 0.4381 0.9919 0.8138
Nd 0.4870 0.7063 0.6178
Nd 0.5130 0.2937 0.3822
Nd 0.5619 0.0081 0.1862
Nd 0.7063 0.4870 0.1178
Nd 0.7603 0.1152 0.5550
Nd 0.8848 0.2397 0.9450
Nd 0.9919 0.4381 0.3138
Ho 0.4112 0.5888 0.2500
Ho 0.5888 0.4112 0.7500
Er 0.2020 0.2995 0.5477
Er 0.2995 0.2020 0.0477
Er 0.7005 0.7980 0.9523
Er 0.7980 0.7005 0.4523
CELL_PARAMETERS angstrom
4.6563 -7.6438 0.0000
4.6563 7.6438 0.0000
-1.1928 0.0000 9.5873
```



Here is a relaxed Pm3NdHo6Er2 crystal from the Alexandria database. Energies are from PBE-GGA. Values from VASP.

Results
Space group ... No. 12
Formation energy ... 0.02 eV/atom

The structure in Quantum ESPRESSO input format:
```
&SYSTEM
  ibrav = 0, nat = 12, ntyp = 4
/
ATOMIC_SPECIES
Pm 145.00 Pm.upf
Nd 144.24 Nd.upf
Ho 164.93 Ho.upf
Er 167.26 Er.upf
ATOMIC_POSITIONS crystal
Pm 0.0000 0.0000 0.0000
Pm 0.3331 0.6669 0.0000
Pm 0.6669 0.3331 0.0000
Nd 0.5000 0.5000 0.5000
Ho 0.0829 0.4169 0.2520
Ho 0.2489 0.2489 0.7480
Ho 0.4169 0.0829 0.2520
Ho 0.5831 0.9171 0.7480
Ho 0.7511 0.7511 0.2520
Ho 0.9171 0.5831 0.7480
Er 0.1669 0.8331 0.5000
Er 0.8331 0.1669 0.5000
CELL_PARAMETERS angstrom
3.0902 -5.3493 0.0000
3.0902 5.3493 0.0000
-2.0519 0.0000 11.6088
```



Here is a relaxed Pm2NdHo4Er crystal from the Alexandria database. Energies are from PBE-GGA. Values from VASP.

Results
Space group ... No. 74
Formation energy ... 0.42 eV/atom

The structure in Quantum ESPRESSO input format:
```
&SYSTEM
  ibrav = 0, nat = 16, ntyp = 4
/
ATOMIC_SPECIES
Pm 145.00 Pm.upf
Nd 144.24 Nd.upf
Ho 164.93 Ho.upf
Er 167.26 Er.upf
ATOMIC_POSITIONS crystal
Pm 0.0000 0.0000 0.0000
Pm 0.5000 0.0000 0.0000
Pm 0.5000 0.0000 0.5000
Pm 0.5000 0.5000 0.5000
Nd 0.0000 0.5000 0.5000
Nd 0.5000 0.5000 0.0000
Ho 0.2456 0.2454 0.4998
Ho 0.2459 0.2499 0.9960
Ho 0.2456 0.7458 0.0002
Ho 0.2460 0.7501 0.4960
Ho 0.7540 0.2499 0.5040
Ho 0.7544 0.2542 0.9998
Ho 0.7541 0.7501 0.0040
Ho 0.7544 0.7546 0.5002
Er 0.0000 0.0000 0.5000
Er 0.0000 0.5000 0.0000
CELL_PARAMETERS angstrom
-3.3998 5.9093 6.6285
3.3998 -5.9093 6.6285
3.3998 5.9093 -6.6285
```



Here is a relaxed PmNd5HoEr2 crystal from the Alexandria database. Energies are from PBE-GGA. Values from VASP.

Results
Space group ... No. 36
Formation energy ... 0.15 eV/atom

The structure in Quantum ESPRESSO input format:
```
&SYSTEM
  ibrav = 0, nat = 18, ntyp = 4
/
ATOMIC_SPECIES
Pm 145.00 Pm.upf
Nd 144.24 Nd.upf
Ho 164.93 Ho.upf
Er 167.26 Er.upf
ATOMIC_POSITIONS crystal
Pm 0.2005 0.7995 0.5000
Pm 0.7995 0.2005 0.0000
Nd 0.0161 0.9839 0.5112
Nd 0.2810 0.7190 0.7998
Nd 0.2966 0.7034 0.1943
Nd 0.3896 0.6104 0.5145
Nd 0.4806 0.5194 0.2332
Nd 0.5194 0.4806 0.7332
Nd 0.6104 0.3896 0.0145
Nd 0.7034 0.2966 0.6943
Nd 0.7190 0.2810 0.2998
Nd 0.9839 0.0161 0.0112
Ho 0.4098 0.5902 0.9495
Ho 0.5902 0.4098 0.4495
Er 0.1106 0.8894 0.2294
Er 0.1158 0.8842 0.8046
Er 0.8842 0.1158 0.3046
Er 0.8894 0.1106 0.7294
CELL_PARAMETERS angstrom
2.8288 -10.2130 0.0000
2.8288 10.2130 0.0000
0.0000 0.0000 10.7522
```



Here is a relaxed Pm2NdHoEr4 crystal from the Alexandria database. Energies are from PBE-GGA. Values from VASP.

Results
Space group ... No. 15
Formation energy ... 0.42 eV/atom

The structure in Quantum ESPRESSO input format:
```
&SYSTEM
  ibrav = 0, nat = 16, ntyp = 4
/
ATOMIC_SPECIES
Pm 145.00 Pm.upf
Nd 144.24 Nd.upf
Ho 164.93 Ho.upf
Er 167.26 Er.upf
ATOMIC_POSITIONS crystal
Pm 0.0000 0.0000 0.0000
Pm 0.0000 0.0000 0.5000
Pm 0.0000 0.5000 0.0000
Pm 0.5000 0.0000 0.5000
Nd 0.0000 0.5000 0.5000
Nd 0.5000 0.0000 0.0000
Ho 0.5000 0.5000 0.0000
Ho 0.5000 0.5000 0.5000
Er 0.2534 0.2535 0.0047
Er 0.2535 0.2534 0.5047
Er 0.2534 0.7464 0.0002
Er 0.2536 0.7466 0.4998
Er 0.7464 0.2534 0.5002
Er 0.7466 0.2536 0.9998
Er 0.7465 0.7466 0.4953
Er 0.7466 0.7465 0.9953
CELL_PARAMETERS angstrom
6.8082 -6.6233 0.0000
6.8082 6.6233 0.0000
-3.3900 0.0000 5.8887
```



Record-wise electronic total energy values, in eV per atom: -4.504, -4.675, -4.599, -4.700, -4.631, -4.226, -4.326, -4.591, -4.617, -4.222, -4.554, -4.214